# 1
Computed, not measured: Zr2CoPt at its PBEsol-relaxed geometry at the SCAN level of DFT. Values from VASP.

Computed properties:
For the energy of formation from the pure elements, the calculation gives -0.82 eV per atom.

```
&SYSTEM
  ibrav = 0, nat = 4, ntyp = 3
/
ATOMIC_SPECIES
Co 58.93 Co.upf
Pt 195.08 Pt.upf
Zr 91.22 Zr.upf
CELL_PARAMETERS angstrom
3.358 0.000 0.000
0.000 4.118 0.000
-1.679 0.000 4.984
ATOMIC_POSITIONS crystal
Co 0.724 0.000 0.448
Pt 0.547 0.500 0.093
Zr 0.980 0.000 0.960
Zr 0.270 0.500 0.539
```

# 2
Computed, not measured: La2TlCr at its PBEsol-relaxed geometry at the SCAN level of DFT. Values from VASP.

Computed properties:
For the energy of formation from the pure elements, the calculation gives -0.17 eV per atom.

```
&SYSTEM
  ibrav = 0, nat = 4, ntyp = 3
/
ATOMIC_SPECIES
Cr 52.00 Cr.upf
La 138.91 La.upf
Tl 204.38 Tl.upf
CELL_PARAMETERS angstrom
-1.079 -2.066 -2.949
-0.046 -4.243 2.990
-4.695 4.099 1.241
ATOMIC_POSITIONS crystal
Cr 0.228 0.728 0.456
La 0.972 0.972 0.944
La 0.762 0.262 0.525
Tl 0.538 0.538 0.075
```

# 3
Computed, not measured: Sr2MgBr at its PBEsol-relaxed geometry at the SCAN level of DFT. Values from VASP.

Computed properties:
Its uncorrected formation energy is -2.72 eV/f.u. As for the energy above the most stable polymorph in this dataset: 0.0 kJ per mole of atoms.

```
&SYSTEM
  ibrav = 0, nat = 4, ntyp = 3
/
ATOMIC_SPECIES
Br 79.90 Br.upf
Mg 24.30 Mg.upf
Sr 87.62 Sr.upf
CELL_PARAMETERS angstrom
-0.315 1.955 3.532
2.278 -4.187 2.521
6.187 1.734 -2.730
ATOMIC_POSITIONS crystal
Br 0.504 0.626 0.008
Mg 0.728 0.124 0.456
Sr 0.997 0.126 0.995
Sr 0.271 0.624 0.541
```

# 4
Computed, not measured: LaP2IrS at its PBEsol-relaxed geometry at the SCAN level of DFT. Values from VASP.

Computed properties:
Its uncorrected formation energy is -2.69 eV/f.u.

```
&SYSTEM
  ibrav = 0, nat = 5, ntyp = 4
/
ATOMIC_SPECIES
P 30.97 P.upf
S 32.06 S.upf
Ir 192.22 Ir.upf
La 138.91 La.upf
CELL_PARAMETERS angstrom
-3.133 -3.216 0.276
2.100 -1.739 3.578
-2.752 2.943 3.045
ATOMIC_POSITIONS crystal
P 0.000 0.500 0.000
P 0.500 0.000 0.000
S 0.000 0.000 0.500
Ir 0.000 0.000 0.000
La 0.500 0.500 0.500
```

# 5
Computed, not measured: HgPW2 at its PBEsol-relaxed geometry at the SCAN level of DFT. Values from VASP.

Computed properties:
For the energy of formation from the pure elements, the calculation gives 0.61 eV per atom. As for the energy above the most stable polymorph in this dataset: 14.9 kJ per mole of atoms.

```
&SYSTEM
  ibrav = 0, nat = 4, ntyp = 3
/
ATOMIC_SPECIES
Hg 200.59 Hg.upf
P 30.97 P.upf
W 183.84 W.upf
CELL_PARAMETERS angstrom
3.110 0.000 0.000
0.000 4.691 0.000
-1.555 -2.345 4.368
ATOMIC_POSITIONS crystal
Hg 0.500 0.000 0.000
P 0.000 0.500 0.000
W 0.707 0.707 0.415
W 0.293 0.293 0.585
```

# 6
Computed, not measured: CaNbReAu2 at its PBEsol-relaxed geometry at the SCAN level of DFT. Values from VASP.

Computed properties:
For the energy of formation from the pure elements, the calculation gives 2.00 eV per atom.

```
&SYSTEM
  ibrav = 0, nat = 5, ntyp = 4
/
ATOMIC_SPECIES
Re 186.21 Re.upf
Nb 92.91 Nb.upf
Au 196.97 Au.upf
Ca 40.08 Ca.upf
CELL_PARAMETERS angstrom
-0.597 4.439 1.669
-2.469 -1.727 3.710
4.039 -0.398 2.503
ATOMIC_POSITIONS crystal
Re 0.000 0.000 0.500
Nb 0.500 0.500 0.500
Au 0.000 0.500 0.000
Au 0.500 0.000 0.000
Ca 0.000 0.000 0.000
```